This record from Alexandria describes crystalline NbVO4 at its relaxed geometry. The functional is GGA-PBEsol.

a b c (Å): 3.8755 3.8755 9.6855
angles (deg): 90.00 90.00 90.00
Closest atoms and distances in Å follow each position.
Space group I-4m2 (No. 119)
Symmetry-distinct sites (fractional):
Nb  0.0000  0.0000  0.0000 x2  6 O 1.98-2.04
V  0.0000  0.5000  0.7500 x2  6 O 1.98-2.00
O  0.0000  0.0000  0.2102 x4  2 V 1.98, 1 Nb 2.04
O  0.0000  0.5000  0.5433 x4  2 Nb 1.98, 1 V 2.00

Properties
The value obtained for the energy relative to the elements, uncorrected is -2386 meV per atom. The density of states at the Fermi level comes out at 4.0 states/eV/f.u.